## LiZn2Ir (GGA-PBE)

Data for a relaxed LiZn2Ir crystal.

Results
Total magnetic moment   0.00 μB per cell
E_tot   -3.51 eV per atom
Mass density   9701 kg/m³

abc: 4.158 4.158 7.546
angles: 90.00 90.00 120.00
Sites, in units of the cell vectors:
Zn1 0.667 0.333 0.408
Zn2 0.333 0.667 0.592
Zn3 0.333 0.667 0.908
Zn4 0.667 0.333 0.092
Ir1 0.667 0.333 0.750
Ir2 0.333 0.667 0.250
Li1 0.000 0.000 0.500
Li2 0.000 0.000 0.000

## LiZn2Ir (GGA-PBE)

Data for a relaxed LiZn2Ir crystal.

Results
Total magnetic moment   0.00 μB per cell
E_tot   -3.51 eV per atom
Mass density   10362 kg/m³

abc: 4.213 4.213 4.213
angles: 60.00 60.00 60.00
Sites, in units of the cell vectors:
Zn1 0.000 0.000 0.000
Zn2 0.750 0.750 0.750
Li1 0.500 0.500 0.500
Ir1 0.250 0.250 0.250

## LiZn2Ir (GGA-PBE)

Data for a relaxed LiZn2Ir crystal.

Results
Total magnetic moment   0.00 μB per cell
E_tot   -3.67 eV per atom
Mass density   10031 kg/m³

abc: 4.259 6.022 12.777
angles: 90.00 90.00 90.00
Sites, in units of the cell vectors:
Zn1 0.500 0.250 0.333
Zn2 0.000 0.750 0.167
Zn3 0.500 0.750 0.333
Zn4 0.000 0.250 0.167
Zn5 0.500 0.250 0.667
Zn6 0.000 0.750 0.500
Zn7 0.500 0.250 0.000
Zn8 0.000 0.250 0.833
Zn9 0.000 0.250 0.500
Zn10 0.500 0.750 0.667
Zn11 0.500 0.750 0.000
Zn12 0.000 0.750 0.833
Li1 0.500 0.000 0.500
Li2 0.000 0.500 0.333
Li3 0.500 0.000 0.167
Li4 0.000 0.500 0.667
Li5 0.000 0.500 0.000
Li6 0.500 0.000 0.833
Ir1 0.500 0.500 0.833
Ir2 0.500 0.500 0.500
Ir3 0.000 0.000 0.667
Ir4 0.000 0.000 0.333
Ir5 0.000 0.000 0.000
Ir6 0.500 0.500 0.167

## LiZn2Ir (GGA-PBE)

Data for a relaxed LiZn2Ir crystal.

Results
Total magnetic moment   0.00 μB per cell
E_tot   -3.67 eV per atom
Mass density   10018 kg/m³

abc: 4.252 6.054 12.749
angles: 90.00 90.00 90.00
Sites, in units of the cell vectors:
Ir1 0.500 0.000 0.500
Ir2 0.000 0.500 0.000
Ir3 0.000 0.500 0.333
Ir4 0.500 0.000 0.833
Ir5 0.500 0.000 0.167
Ir6 0.000 0.500 0.667
Zn1 0.000 0.250 0.167
Zn2 0.500 0.250 0.667
Zn3 0.000 0.750 0.833
Zn4 0.000 0.250 0.833
Zn5 0.000 0.750 0.500
Zn6 0.500 0.750 0.333
Zn7 0.500 0.250 0.000
Zn8 0.500 0.250 0.333
Zn9 0.500 0.750 0.667
Zn10 0.500 0.750 0.000
Zn11 0.000 0.250 0.500
Zn12 0.000 0.750 0.167
Li1 0.000 0.000 0.000
Li2 0.500 0.500 0.833
Li3 0.500 0.500 0.500
Li4 0.500 0.500 0.167
Li5 0.000 0.000 0.667
Li6 0.000 0.000 0.333

Q: Which value of total magnetic moment does entry 4 give?
A: 0.00 μB per cell

Q: Which formula does entry 3 have?
A: LiZn2Ir